The following is a SCAN calculation of a crystal of BiMoI2N relaxed with PBEsol, from Alexandria via LeMat-Bulk.

```
5
Lattice="-0.4575 -4.0873 0.0762 2.6495 -0.1926 5.5787 -5.5395 0.6695 2.6540" Properties=species:S:1:pos:R:3 pbc="T T T"
I -2.7698 0.3348 1.3270
I 1.3247 -0.0963 2.7893
Mo -1.6738 -1.8052 4.1544
Bi 0.0000 0.0000 0.0000
N -0.2288 -2.0436 0.0381
```

VASP energy: -189.31 eV for the cell shown
Magnetization: 0.99 μB/atom
Volume: 157 Å³ per cell